# PBE Sc2B2SbRh5, relaxed
data_Sc2B2SbRh5
_symmetry_space_group_name_H-M 'P 1'
_symmetry_Int_Tables_number 1
_cell_length_a 9.342
_cell_length_b 9.342
_cell_length_c 3.247
_cell_angle_alpha 90.00
_cell_angle_beta 90.00
_cell_angle_gamma 90.00
loop_
_symmetry_equiv_pos_as_xyz
'x,y,z'
loop_
_atom_site_label
_atom_site_fract_x
_atom_site_fract_y
_atom_site_fract_z
Sc1 0.174 0.326 0.000
Sc2 0.326 0.826 0.000
Sc3 0.674 0.174 0.000
Sc4 0.826 0.674 0.000
B1 0.121 0.621 0.000
B2 0.379 0.121 0.000
B3 0.621 0.879 0.000
B4 0.879 0.379 0.000
Sb1 0.000 0.000 0.000
Sb2 0.500 0.500 0.000
Rh1 0.000 0.500 0.500
Rh2 0.073 0.778 0.500
Rh3 0.222 0.073 0.500
Rh4 0.278 0.573 0.500
Rh5 0.427 0.278 0.500
Rh6 0.500 0.000 0.500
Rh7 0.573 0.722 0.500
Rh8 0.722 0.427 0.500
Rh9 0.778 0.927 0.500
Rh10 0.927 0.222 0.500
# Energy, eV per cell: -150.0
# Total moment, μB per formula unit: 0.00
# Fermi-level density of states, states/eV per cell: 7.23
# Formation energy from raw total energies, eV/atom: -0.810
# SG: P4/mbm (127)